TlFeOs2 (PBE, relaxed); total moment = 3.20 Bohr magnetons per cell; D(E_F) = 0.96 states/eV per atom; relative energy among the computed polymorphs = 257.6 meV per atom; DFT formation energy = 0.8142 eV/atom; electronic total energy = -30.0 eV/cell; crystal system = monoclinic
1.0
-2.050 -3.532 1.861
2.482 -1.318 0.234
0.831 1.983 4.680
Os Fe Tl
2 1 1
Cartesian
0.802 1.907 4.503
1.685 0.409 2.633
1.459 -1.267 4.615
-0.197 -1.600 2.159

TlFeOs2 (PBE, relaxed); total moment = 1.36 Bohr magnetons per cell; D(E_F) = 1.07 states/eV per atom; relative energy among the computed polymorphs = 551.3 meV per atom; DFT formation energy = 1.1079 eV/atom; electronic total energy = -57.7 eV/cell; crystal system = tetragonal
1.0
-0.471 5.535 4.803
4.611 -3.517 4.505
4.017 2.139 3.543
Tl Os Fe
2 4 2
Cartesian
2.808 4.341 6.500
0.000 0.000 0.000
6.334 3.599 10.507
3.796 -0.610 4.615
4.866 2.131 6.441
1.317 3.193 4.137
2.070 1.009 4.654
5.349 -0.185 6.351

TlFeOs2 (PBE, relaxed); total moment = 2.86 Bohr magnetons per cell; D(E_F) = 0.96 states/eV per atom; relative energy among the computed polymorphs = 0.0 meV per atom; DFT formation energy = 0.5566 eV/atom; electronic total energy = -31.1 eV/cell; crystal system = tetragonal
1.0
-0.284 -0.686 2.745
2.813 -0.367 0.199
0.856 7.650 2.001
Os Tl Fe
2 1 1
Cartesian
0.005 0.047 0.012
1.450 1.129 1.905
0.431 3.852 1.008
1.927 5.394 3.021

TlFeOs2 (PBE, relaxed); total moment = 3.80 Bohr magnetons per cell; D(E_F) = 1.31 states/eV per atom; relative energy among the computed polymorphs = 372.0 meV per atom; DFT formation energy = 0.9286 eV/atom; electronic total energy = -29.6 eV/cell; crystal system = tetragonal
1.0
3.923 0.000 0.000
0.000 4.006 0.000
0.000 0.000 4.006
Fe Os Tl
1 2 1
Cartesian
1.962 0.000 2.003
0.000 2.003 2.003
0.000 0.000 0.000
1.962 2.003 0.000